A relaxed Si2BiOsPd crystal. Source: Alexandria, functional GGA-PBE.

Output
As for the magnetic moment: 0.000 μB/atom. The value obtained for the formation energy (no corrections) is 0.506 eV/atom. The volume is 23.4 Å³/atom.

Cell and atoms, written as CIF:
```
data_Si2BiOsPd
_chemical_formula_sum 'Si2 Bi1 Os1 Pd1'
_symmetry_space_group_name_H-M 'P 1'
_symmetry_Int_Tables_number 1
_cell_length_a 4.4972
_cell_length_b 4.4972
_cell_length_c 5.7786
_cell_angle_alpha 90.00
_cell_angle_beta 90.00
_cell_angle_gamma 90.00
loop_
_symmetry_equiv_pos_as_xyz
'x,y,z'
loop_
_atom_site_label
_atom_site_type_symbol
_atom_site_fract_x
_atom_site_fract_y
_atom_site_fract_z
Si1 Si 0.0000 0.5000 0.0000
Si2 Si 0.5000 0.0000 0.0000
Bi1 Bi 0.0000 0.0000 0.5000
Os1 Os 0.0000 0.0000 0.0000
Pd1 Pd 0.5000 0.5000 0.5000
```